# Hf5P7Pd9 PBE relaxed
data_Hf5P7Pd9
_symmetry_space_group_name_H-M 'A m m 2'
_symmetry_Int_Tables_number 38
_symmetry_space_group_name_Hall 'A 2 -2'
_cell_length_a 3.7909
_cell_length_b 26.6104
_cell_length_c 6.5403
_cell_angle_alpha 90.00
_cell_angle_beta 90.00
_cell_angle_gamma 90.00
loop_
_atom_site_label
_atom_site_fract_x
_atom_site_fract_y
_atom_site_fract_z
_atom_site_occupancy
Hf1 0.0000 0.0000 0.0000 1
Hf2 0.0000 0.0882 0.6200 1
Hf3 0.5000 0.2291 0.2238 1
P1 0.0000 0.0000 0.3982 1
P2 0.0000 0.2155 0.9369 1
P3 0.5000 0.0676 0.9039 1
P4 0.5000 0.1437 0.4225 1
Pd1 0.0000 0.1400 0.1759 1
Pd2 0.0000 0.1963 0.5541 1
Pd3 0.5000 0.0000 0.6465 1
Pd4 0.5000 0.0584 0.2698 1
Pd5 0.5000 0.1571 0.8374 1
# **Raw total energy**: -305.90 eV/cell
# **Magnetization**: 0.01 Bohr magnetons per cell



# PmCdB PBE relaxed
data_PmCdB
_symmetry_space_group_name_H-M 'F -4 3 m'
_symmetry_Int_Tables_number 216
_symmetry_space_group_name_Hall 'F -4 2 3'
_cell_length_a 6.2655
_cell_length_b 6.2655
_cell_length_c 6.2655
_cell_angle_alpha 90.00
_cell_angle_beta 90.00
_cell_angle_gamma 90.00
loop_
_atom_site_label
_atom_site_fract_x
_atom_site_fract_y
_atom_site_fract_z
_atom_site_occupancy
Pm1 0.0000 0.0000 0.0000 1
Cd1 0.0000 0.0000 0.5000 1
B1 0.2500 0.2500 0.7500 1
# **Energy relative to the lowest polymorph listed for this composition**: 0 meV/atom
# **Raw total energy**: -49.45 eV/cell
# **Magnetization**: 0.00 Bohr magnetons per cell



# PrNd2Cd3CuAu2 PBE relaxed
data_PrNd2Cd3CuAu2
_symmetry_space_group_name_H-M 'A m m 2'
_symmetry_Int_Tables_number 38
_symmetry_space_group_name_Hall 'A 2 -2'
_cell_length_a 3.9883
_cell_length_b 13.6975
_cell_length_c 7.8915
_cell_angle_alpha 90.00
_cell_angle_beta 90.00
_cell_angle_gamma 90.00
loop_
_atom_site_label
_atom_site_fract_x
_atom_site_fract_y
_atom_site_fract_z
_atom_site_occupancy
Pr1 0.0000 0.0000 0.0000 1
Nd1 0.0000 0.2043 0.6129 1
Cd1 0.5000 0.0000 0.6492 1
Cd2 0.5000 0.1209 0.2884 1
Cu1 0.0000 0.0000 0.4091 1
Au1 0.5000 0.1675 0.9081 1
# **ΔH_f (0 K)**: -5.0 eV/f.u.
# **Raw total energy**: -64.39 eV/cell
# **Magnetization**: 0.04 Bohr magnetons per cell